Entry 1:
PBE Ta3SiRh, relaxed; density = 11.63 g cm⁻³; calculated total energy = -8.887 eV per atom; ΔE_f (raw) = 0.78 eV per atom; SG = Pm-3m; energy above the most stable polymorph in this dataset = 0.0000 eV/atom
1.0
4.583 0.000 0.000
0.000 4.583 0.000
0.000 0.000 4.583
Ta Si Rh
3 1 1
direct
0.000 0.000 0.500 Ta
0.000 0.500 0.000 Ta
0.500 0.000 0.000 Ta
0.000 0.000 0.000 Si
0.500 0.500 0.500 Rh

Entry 2:
PBE TaSi2Rh, relaxed; density = 9.53 g cm⁻³; calculated total energy = -7.856 eV per atom; ΔE_f (raw) = -0.34 eV per atom; SG = P2/m
1.0
4.466 0.000 0.000
0.000 2.864 0.000
-2.099 0.000 4.634
Ta Si Rh
1 2 1
direct
0.000 0.000 0.000 Ta
0.500 0.000 0.500 Si
0.500 0.500 0.000 Si
0.000 0.500 0.500 Rh